i.
DFT (PBE-GGA) results for a geometry-optimized K2ZrNi structure.

SG: Pmmm, No. 47
DOS(E_F): 3.59 states/eV/f.u.

The structure in extended XYZ format:
```
4
Lattice="3.9806 0.0000 0.0000 0.0000 4.1789 0.0000 0.0000 0.0000 6.2085" Properties=species:S:1:pos:R:3 pbc="T T T"
K 0.0000 0.0000 0.0000
K 1.9903 2.0894 0.0000
Zr 0.0000 2.0894 3.1043
Ni 1.9903 0.0000 3.1043
```

=====

ii.
DFT (PBE-GGA) results for a geometry-optimized K2ZrNi structure.

SG: F-43m, No. 216
DOS(E_F): 3.05 states/eV/f.u.

The structure in extended XYZ format:
```
4
Lattice="0.0000 3.7841 3.7841 3.7841 0.0000 3.7841 3.7841 3.7841 0.0000" Properties=species:S:1:pos:R:3 pbc="T T T"
K 0.0000 0.0000 0.0000
K 1.8921 1.8921 1.8921
Zr 5.6762 5.6762 5.6762
Ni 3.7841 3.7841 3.7841
```

=====

iii.
DFT (PBE-GGA) results for a geometry-optimized K2ZrNi structure.

SG: P4/mmm, No. 123
DOS(E_F): 6.43 states/eV/f.u.

The structure in extended XYZ format:
```
4
Lattice="6.7144 0.0000 0.0000 0.0000 6.7144 0.0000 0.0000 0.0000 2.8689" Properties=species:S:1:pos:R:3 pbc="T T T"
K 0.0000 3.3572 0.0000
K 3.3572 0.0000 0.0000
Zr 0.0000 0.0000 1.4344
Ni 3.3572 3.3572 1.4344
```

=====

iv.
DFT (PBE-GGA) results for a geometry-optimized K2ZrNi structure.

SG: P2/m, No. 10
DOS(E_F): 4.04 states/eV/f.u.

The structure in extended XYZ format:
```
4
Lattice="3.3034 0.0000 0.0000 0.0000 6.2946 0.0000 -0.2202 0.0000 5.0084" Properties=species:S:1:pos:R:3 pbc="T T T"
K 0.7288 0.0000 1.3126
K 2.3544 0.0000 3.6958
Zr 1.6517 3.1473 0.0000
Ni -0.1101 3.1473 2.5042
```

=====

Top of the stability list: i, leading by 60 meV per atom.